Here is crystalline TiW2F at its relaxed geometry from Alexandria. Energies are from PBE with a Hubbard U.

Lattice parameters (Å, degrees): 10.1065 10.1065 10.1065 158.72 158.72 30.28
Fractional positions:
Ti: 0.0000 0.0000 0.0000
Ti: 0.7500 0.2500 0.5000
W: 0.1147 0.6250 0.9897
W: 0.3750 0.3647 0.4897
W: 0.6353 0.1250 0.0103
W: 0.8750 0.8853 0.5103
F: 0.2500 0.7500 0.5000
F: 0.5000 0.5000 0.0000

Offset from the most stable computed form = 0 meV/atom
D(E_F) = 3.99 states/eV/f.u.



Here is crystalline Na2V2PO6 at its relaxed geometry from Alexandria. Energies are from PBE with a Hubbard U.

Lattice parameters (Å, degrees): 5.0524 5.0524 5.7218 98.89 98.89 117.10
Fractional positions:
Na: 0.1751 0.8249 0.0000
Na: 0.8249 0.1751 0.0000
V: 0.3429 0.6571 0.5000
V: 0.6571 0.3429 0.5000
P: 0.0000 0.0000 0.5000
O: 0.0521 0.3436 0.6787
O: 0.2142 0.2142 0.3138
O: 0.3436 0.0521 0.6787
O: 0.6564 0.9479 0.3213
O: 0.7858 0.7858 0.6862
O: 0.9479 0.6564 0.3213

DFT total energy = -6.703 eV/atom



In the order shown, the computed calculated density values come out to 10.62; 3.67 g/cm3.